# 1
# ThAlNiPt

A relaxed structure of ThAlNiPt (PBE, the Alexandria database).

a b c (Å): 4.2781 4.2781 14.5090
angles (deg): 90.00 90.00 120.00
Closest atoms and distances in Å follow each position.
Space group R3m (No. 160, hexagonal axes)
Asymmetric unit:
Th (0.0000, 0.0000, 0.0000) x3  4 Ni 3.04-3.06, 4 Pt 3.05, 3 Al 3.40
Al (0.0000, 0.0000, 0.4948) x3  3 Ni 2.53, 3 Pt 2.57
Ni (0.0000, 0.0000, 0.7892) x3  3 Al 2.53, 3 Pt 2.78
Pt (0.0000, 0.0000, 0.2104) x3  3 Al 2.57, 3 Ni 2.78

Properties
ΔE_f   -3.5 eV/f.u.
Crystal system   trigonal
Calculated volume   19.2 A^3/atom
D(E_F)   2.54 states/eV/f.u.
Energy   -79.58 eV for the cell shown

# 2
# Th2Al4NiPt3

A relaxed structure of Th2Al4NiPt3 (PBE, the Alexandria database).

a b c (Å): 4.2762 4.2762 10.3124
angles (deg): 90.00 90.00 90.00
Closest atoms and distances in Å follow each position.
Space group P-4m2 (No. 115)
Asymmetric unit:
Th (0.0000, 0.5000, 0.2452) x2  6 Pt 3.26-3.31, 8 Al 3.28-3.39, 2 Ni 3.31
Al (0.0000, 0.0000, 0.5000) x1  4 Pt 2.56
Al (0.0000, 0.5000, 0.8783) x2  2 Ni 2.48, 3 Pt 2.48-2.49
Al (0.5000, 0.5000, 0.5000) x1  4 Pt 2.56
Ni (0.5000, 0.5000, 0.0000) x1  4 Al 2.48
Pt (0.0000, 0.0000, 0.0000) x1  4 Al 2.48
Pt (0.0000, 0.5000, 0.6369) x2  5 Al 2.49-2.56

Properties
ΔE_f   -10.0 eV/f.u.
Crystal system   tetragonal
Calculated volume   18.9 A^3/atom
D(E_F)   9.56 states/eV/f.u.
Energy   -63.73 eV for the cell shown

# 3
# Th2Al3NiPt12

A relaxed structure of Th2Al3NiPt12 (PBE, the Alexandria database).

a b c (Å): 8.0534 8.0534 19.2760
angles (deg): 90.00 90.00 120.00
Closest atoms and distances in Å follow each position.
Space group R-3m (No. 166, hexagonal axes)
Asymmetric unit:
Th (0.0000, 0.0000, 0.1302) x6  6 Pt 2.76-2.86
Al (0.0000, 0.5000, 0.0000) x9  6 Pt 2.44-2.48
Ni (0.0000, 0.0000, 0.5000) x3  6 Pt 2.45
Pt (0.0009, 0.5004, 0.1264) x18  1 Al 2.44, 1 Ni 2.45
Pt (0.0040, 0.5020, 0.6245) x18  2 Al 2.48

Properties
ΔE_f   -9.9 eV/f.u.
Crystal system   trigonal
Calculated volume   20.0 A^3/atom
D(E_F)   10.36 states/eV/f.u.
Energy   -342.64 eV for the cell shown

# 4
# Ti2Al2Ni7Pt

A relaxed structure of Ti2Al2Ni7Pt (PBE, the Alexandria database).

a b c (Å): 5.2313 5.3504 11.2075
angles (deg): 90.00 90.00 90.00
Closest atoms and distances in Å follow each position.
Space group Cmmm (No. 65)
Asymmetric unit:
Ti (0.0000, 0.0000, 0.1676) x4  6 Ni 2.42-2.67, 4 Al 2.65-2.70
Al (0.0000, 0.5000, 0.2031) x4  6 Ni 2.41-2.55, 2 Ti 2.65
Ni (0.0000, 0.0000, 0.5000) x2  8 Ni 2.61, 4 Pt 2.62-2.68
Ni (0.0000, 0.2845, 0.0000) x4  1 Ni 2.31, 2 Ti 2.42, 2 Al 2.55
Ni (0.2500, 0.2500, 0.3380) x8  2 Al 2.41, 6 Ni 2.61-2.68, 2 Pt 2.61, 2 Ti 2.67
Pt (0.0000, 0.5000, 0.5000) x2  12 Ni 2.61-2.68

Properties
ΔE_f   -2.7 eV/f.u.
Crystal system   orthorhombic
Calculated volume   13.1 A^3/atom
D(E_F)   13.74 states/eV/f.u.
Energy   -145.02 eV for the cell shown

# 5
# Tm2Al4NiPt3

A relaxed structure of Tm2Al4NiPt3 (PBE, the Alexandria database).

a b c (Å): 4.0376 4.0376 10.9225
angles (deg): 90.00 90.00 90.00
Closest atoms and distances in Å follow each position.
Space group P-4m2 (No. 115)
Asymmetric unit:
Tm (0.0000, 0.5000, 0.2484) x2  6 Pt 3.09-3.38, 8 Al 3.14-3.41, 2 Ni 3.38
Al (0.0000, 0.0000, 0.5000) x1  4 Pt 2.56, 4 Al 2.86
Al (0.0000, 0.5000, 0.8721) x2  2 Ni 2.45, 3 Pt 2.45-2.50
Al (0.5000, 0.5000, 0.5000) x1  4 Pt 2.56, 4 Al 2.86
Ni (0.5000, 0.5000, 0.0000) x1  4 Al 2.45
Pt (0.0000, 0.0000, 0.0000) x1  4 Al 2.45
Pt (0.0000, 0.5000, 0.6434) x2  5 Al 2.50-2.56

Properties
ΔE_f   -10.0 eV/f.u.
Crystal system   tetragonal
Calculated volume   17.8 A^3/atom
D(E_F)   4.40 states/eV/f.u.
Energy   -57.80 eV for the cell shown

# 6
# TmAl3NiPt

A relaxed structure of TmAl3NiPt (PBE, the Alexandria database).

a b c (Å): 6.1374 12.0501 5.6383
angles (deg): 90.00 90.00 90.00
Closest atoms and distances in Å follow each position.
Space group Cmcm (No. 63)
Asymmetric unit:
Tm (0.0000, 0.2262, 0.2500) x4  1 Ni 2.56
Al (0.0000, 0.3579, 0.7500) x4  1 Ni 2.45, 1 Pt 2.51
Al (0.2109, 0.0000, 0.0000) x8  2 Ni 2.38, 1 Al 2.59, 2 Pt 2.63
Ni (0.0000, 0.4389, 0.2500) x4  5 Al 2.38-2.45, 1 Tm 2.56
Pt (0.0000, 0.1493, 0.7500) x4  5 Al 2.51-2.63

Properties
ΔE_f   -3.8 eV/f.u.
Crystal system   orthorhombic
Calculated volume   17.4 A^3/atom
D(E_F)   2.97 states/eV/f.u.
Energy   -125.43 eV for the cell shown

# 7
# YAl2Ni2Pt

A relaxed structure of YAl2Ni2Pt (PBE, the Alexandria database).

a b c (Å): 4.6310 4.6310 5.3718
angles (deg): 90.00 90.00 90.00
Closest atoms and distances in Å follow each position.
Space group P4/mmm (No. 123)
Asymmetric unit:
Y (0.0000, 0.0000, 0.0000) x1  2 Pt 2.69
Al (0.0000, 0.5000, 0.5000) x2  2 Pt 2.32
Ni (0.5000, 0.5000, 0.2414) x2  2 Ni 2.59-2.78, 4 Al 2.70
Pt (0.0000, 0.0000, 0.5000) x1  4 Al 2.32

Properties
ΔE_f   -1.5 eV/f.u.
Crystal system   tetragonal
Calculated volume   19.2 A^3/atom
D(E_F)   2.40 states/eV/f.u.
Energy   -33.02 eV for the cell shown

# 8
# YAl2NiPt4

A relaxed structure of YAl2NiPt4 (PBE, the Alexandria database).

a b c (Å): 4.2991 4.2991 24.9247
angles (deg): 90.00 90.00 120.00
Closest atoms and distances in Å follow each position.
Space group R-3m (No. 166, hexagonal axes)
Asymmetric unit:
Y (0.0000, 0.0000, 0.0000) x3  8 Pt 2.98-3.24
Al (0.0000, 0.0000, 0.2374) x6  7 Pt 2.59-2.68
Ni (0.0000, 0.0000, 0.5000) x3  8 Pt 2.50-2.65
Pt (0.0000, 0.0000, 0.1299) x6  4 Al 2.62-2.68, 3 Ni 2.65
Pt (0.0000, 0.0000, 0.3996) x6  1 Ni 2.50, 3 Al 2.59

Properties
ΔE_f   -7.0 eV/f.u.
Crystal system   trigonal
Calculated volume   16.6 A^3/atom
D(E_F)   5.61 states/eV/f.u.
Energy   -152.56 eV for the cell shown

# 9
# YAl3NiPt

A relaxed structure of YAl3NiPt (PBE, the Alexandria database).

a b c (Å): 6.1949 12.0063 5.7259
angles (deg): 90.00 90.00 90.00
Closest atoms and distances in Å follow each position.
Space group Cmcm (No. 63)
Asymmetric unit:
Y (0.0000, 0.2286, 0.2500) x4  1 Ni 2.60
Al (0.0000, 0.3553, 0.7500) x4  1 Ni 2.39, 1 Pt 2.51
Al (0.2107, 0.0000, 0.0000) x8  2 Ni 2.39, 1 Al 2.61, 2 Pt 2.62
Ni (0.0000, 0.4454, 0.2500) x4  5 Al 2.39, 1 Y 2.60
Pt (0.0000, 0.1464, 0.7500) x4  5 Al 2.51-2.62

Properties
ΔE_f   -3.9 eV/f.u.
Crystal system   orthorhombic
Calculated volume   17.7 A^3/atom
D(E_F)   3.08 states/eV/f.u.
Energy   -133.51 eV for the cell shown

# 10
# YAl4NiPt2

A relaxed structure of YAl4NiPt2 (PBE, the Alexandria database).

a b c (Å): 4.2306 4.2306 25.8903
angles (deg): 90.00 90.00 120.00
Closest atoms and distances in Å follow each position.
Space group R-3m (No. 166, hexagonal axes)
Asymmetric unit:
Y (0.0000, 0.0000, 0.0000) x3  6 Al 3.06
Al (0.0000, 0.0000, 0.1357) x6  3 Ni 2.57, 4 Pt 2.64-2.65
Al (0.0000, 0.0000, 0.4046) x6  1 Ni 2.47, 3 Pt 2.52
Ni (0.0000, 0.0000, 0.5000) x3  8 Al 2.47-2.57
Pt (0.0000, 0.0000, 0.2377) x6  7 Al 2.52-2.65

Properties
ΔE_f   -6.8 eV/f.u.
Crystal system   trigonal
Calculated volume   16.7 A^3/atom
D(E_F)   4.23 states/eV/f.u.
Energy   -138.22 eV for the cell shown

# 11
# YAl4Ni2Pt

A relaxed structure of YAl4Ni2Pt (PBE, the Alexandria database).

a b c (Å): 4.1380 4.1380 26.4924
angles (deg): 90.00 90.00 120.00
Closest atoms and distances in Å follow each position.
Space group R-3m (No. 166, hexagonal axes)
Asymmetric unit:
Y (0.0000, 0.0000, 0.0000) x3  6 Al 3.03
Al (0.0000, 0.0000, 0.1290) x6  4 Ni 2.51-2.76, 3 Pt 2.59
Al (0.0000, 0.0000, 0.4036) x6  3 Ni 2.52, 1 Pt 2.55
Ni (0.0000, 0.0000, 0.2331) x6  7 Al 2.51-2.76
Pt (0.0000, 0.0000, 0.5000) x3  8 Al 2.55-2.59

Properties
ΔE_f   -5.1 eV/f.u.
Crystal system   trigonal
Calculated volume   16.4 A^3/atom
D(E_F)   4.64 states/eV/f.u.
Energy   -132.45 eV for the cell shown

# 12
# AlZnNiPt

A relaxed structure of AlZnNiPt (PBE, the Alexandria database).

a b c (Å): 3.0413 3.0413 5.8074
angles (deg): 90.00 90.00 90.00
Closest atoms and distances in Å follow each position.
Space group P4mm (No. 99)
Asymmetric unit:
Al (0.0000, 0.0000, 0.0000) x1  4 Ni 2.53, 4 Pt 2.62, 1 Zn 2.68
Zn (0.0000, 0.0000, 0.5390) x1  4 Ni 2.54, 1 Al 2.68, 4 Pt 2.70
Ni (0.5000, 0.5000, 0.7713) x1  4 Al 2.53, 4 Zn 2.54, 1 Pt 2.82
Pt (0.5000, 0.5000, 0.2566) x1  4 Al 2.62, 4 Zn 2.70, 1 Ni 2.82

Properties
ΔE_f   -2.5 eV/f.u.
Crystal system   tetragonal
Calculated volume   13.4 A^3/atom
D(E_F)   1.66 states/eV/f.u.
Energy   -19.30 eV for the cell shown

# 13
# ZrAlNiPt

A relaxed structure of ZrAlNiPt (PBE, the Alexandria database).

a b c (Å): 6.3360 6.3360 6.3360
angles (deg): 90.00 90.00 90.00
Closest atoms and distances in Å follow each position.
Space group F-43m (No. 216)
Asymmetric unit:
Zr (0.0000, 0.0000, 0.0000) x4  4 Ni 2.74, 4 Pt 2.74
Al (0.0000, 0.0000, 0.5000) x4  4 Pt 2.74, 4 Ni 2.74
Ni (0.2500, 0.2500, 0.7500) x4  4 Zr 2.74, 4 Al 2.74
Pt (0.2500, 0.2500, 0.2500) x4  4 Zr 2.74, 4 Al 2.74

Properties
ΔE_f   -3.2 eV/f.u.
Crystal system   cubic
Calculated volume   15.9 A^3/atom
D(E_F)   3.03 states/eV/f.u.
Energy   -109.25 eV for the cell shown

# 14
# PuAl3Ni2

A relaxed structure of PuAl3Ni2 (PBE, the Alexandria database).

a b c (Å): 9.8629 7.7641 5.0932
angles (deg): 90.00 90.00 90.00
Closest atoms and distances in Å follow each position.
Space group Cmcm (No. 63)
Asymmetric unit:
Pu (0.0000, 0.1336, 0.2500) x4  9 Al 3.17-3.35, 2 Pu 3.28, 4 Ni 3.32
Al (0.0000, 0.4580, 0.7500) x4  4 Ni 2.44, 4 Al 2.61-2.63
Al (0.1902, 0.2237, 0.7500) x8  4 Ni 2.38-2.50, 1 Al 2.61
Ni (0.2080, 0.5000, 0.0000) x8  6 Al 2.38-2.50, 2 Ni 2.55

Properties
ΔE_f   -2.9 eV/f.u.
Crystal system   orthorhombic
Calculated volume   16.3 A^3/atom
D(E_F)   10.81 states/eV/f.u.
Energy   -160.17 eV for the cell shown

# 15
# Pu2AlNi

A relaxed structure of Pu2AlNi (PBE, the Alexandria database).

a b c (Å): 3.7243 3.7243 5.7836
angles (deg): 90.00 90.00 90.00
Closest atoms and distances in Å follow each position.
Space group P4/mmm (No. 123)
Asymmetric unit:
Pu (0.0000, 0.0000, 0.2373) x2  2 Pu 2.74-3.04, 4 Ni 2.97, 4 Al 3.04
Al (0.5000, 0.5000, 0.5000) x1  2 Ni 2.89, 8 Pu 3.04
Ni (0.5000, 0.5000, 0.0000) x1  2 Al 2.89, 8 Pu 2.97

Properties
ΔE_f   -0.4 eV/f.u.
Crystal system   tetragonal
Calculated volume   20.1 A^3/atom
D(E_F)   12.77 states/eV/f.u.
Energy   -38.57 eV for the cell shown

# 16
# PuAl10Ni3

A relaxed structure of PuAl10Ni3 (PBE, the Alexandria database).

a b c (Å): 12.3057 12.3057 12.3057
angles (deg): 90.00 90.00 90.00
Closest atoms and distances in Å follow each position.
Space group Fm-3m (No. 225)
Asymmetric unit:
Pu (0.2500, 0.2500, 0.2500) x8  4 Al 2.98
Al (0.0000, 0.1695, 0.1695) x48  2 Ni 2.40
Al (0.1101, 0.1101, 0.3899) x32  3 Ni 2.45, 3 Al 2.71
Ni (0.0000, 0.0000, 0.2654) x24  8 Al 2.40-2.45

Properties
ΔE_f   -4.3 eV/f.u.
Crystal system   cubic
Calculated volume   16.6 A^3/atom
D(E_F)   6.95 states/eV/f.u.
Energy   -586.86 eV for the cell shown

# 17
# Pu3Al2Ni6

A relaxed structure of Pu3Al2Ni6 (PBE, the Alexandria database).

a b c (Å): 8.8028 8.8028 8.8028
angles (deg): 90.00 90.00 90.00
Closest atoms and distances in Å follow each position.
Space group Im-3m (No. 229)
Asymmetric unit:
Pu (0.0000, 0.0000, 0.2702) x12  8 Ni 2.80-3.10, 4 Al 3.12
Al (0.2500, 0.2500, 0.2500) x8  6 Ni 2.50
Ni (0.0000, 0.3447, 0.3447) x24  2 Al 2.50, 6 Ni 2.55-2.73

Properties
ΔE_f   -3.8 eV/f.u.
Crystal system   cubic
Calculated volume   15.5 A^3/atom
D(E_F)   31.03 states/eV/f.u.
Energy   -355.87 eV for the cell shown

# 18
# PuAl7Ni5

A relaxed structure of PuAl7Ni5 (PBE, the Alexandria database).

a b c (Å): 4.9756 8.6850 8.5255
angles (deg): 90.00 90.00 90.00
Closest atoms and distances in Å follow each position.
Space group Imm2 (No. 44)
Asymmetric unit:
Pu (0.0000, 0.0000, 0.0000) x2  10 Al 2.87-3.17, 2 Ni 3.14
Al (0.0000, 0.0000, 0.3498) x2  4 Ni 2.58, 5 Al 2.68-2.83
Al (0.0000, 0.0000, 0.6639) x2  6 Ni 2.66-2.67, 3 Al 2.68-2.92, 1 Pu 2.87
Al (0.0000, 0.2933, 0.4956) x4  5 Ni 2.44-2.60, 1 Al 2.69
Al (0.0000, 0.3439, 0.0202) x4  5 Ni 2.52-2.68, 4 Al 2.71-2.82
Al (0.0000, 0.5000, 0.7302) x2  4 Ni 2.45, 4 Al 2.69
Ni (0.0000, 0.5000, 0.2745) x2  6 Al 2.56-2.66, 4 Ni 2.57
Ni (0.2480, 0.2578, 0.7553) x8  7 Al 2.44-2.68, 3 Ni 2.47-2.57

Properties
ΔE_f   -6.7 eV/f.u.
Crystal system   orthorhombic
Calculated volume   14.2 A^3/atom
D(E_F)   16.36 states/eV/f.u.
Energy   -152.22 eV for the cell shown

# 19
# PuAlNi

A relaxed structure of PuAlNi (PBE, the Alexandria database).

a b c (Å): 4.5067 4.5067 2.9761
angles (deg): 90.00 90.00 120.00
Closest atoms and distances in Å follow each position.
Space group P-6m2 (No. 187)
Asymmetric unit:
Pu (0.0000, 0.0000, 0.0000) x1  2 Pu 2.98, 6 Ni 3.00, 6 Al 3.00
Al (0.3333, 0.6667, 0.5000) x1  3 Ni 2.60
Ni (0.6667, 0.3333, 0.5000) x1  3 Al 2.60

Properties
ΔE_f   -0.7 eV/f.u.
Crystal system   hexagonal
Calculated volume   17.4 A^3/atom
D(E_F)   8.51 states/eV/f.u.
Energy   -24.51 eV for the cell shown

# 20
# Pu2AlNi3

A relaxed structure of Pu2AlNi3 (PBE, the Alexandria database).

a b c (Å): 5.2529 5.2529 12.0464
angles (deg): 90.00 90.00 120.00
Closest atoms and distances in Å follow each position.
Space group R-3m (No. 166, hexagonal axes)
Asymmetric unit:
Pu (0.0000, 0.0000, 0.1199) x6  1 Pu 2.89, 9 Ni 2.99-3.00, 3 Al 3.08
Al (0.0000, 0.0000, 0.5000) x3  6 Ni 2.52
Ni (0.0000, 0.5000, 0.0000) x9  2 Al 2.52, 4 Ni 2.63

Properties
ΔE_f   -2.0 eV/f.u.
Crystal system   trigonal
Calculated volume   16.0 A^3/atom
D(E_F)   16.06 states/eV/f.u.
Energy   -155.26 eV for the cell shown